First-principles (PBE-GGA) data for crystalline SmYB2As2Ir2 at its relaxed geometry, as listed in the Open Quantum Materials Database.

a b c (Å): 3.992 3.992 8.671
angles (deg): 90.00 90.00 90.00
Space group P4mm (No. 99)
Unique sites:
Sm1 0.000 0.000 0.000 [1 per cell]
Y1 0.500 0.500 0.583 [1 per cell]
B1 0.000 0.000 0.394 [1 per cell]
B2 0.500 0.500 0.184 [1 per cell]
As1 0.000 0.000 0.642 [1 per cell]
As2 0.500 0.500 0.933 [1 per cell]
Ir1 0.000 0.500 0.291 [2 per cell]

Calculated values
* DFT total energy: -58.45 eV/cell

First-principles (PBE-GGA) data for crystalline In2TcAs at its relaxed geometry, as listed in the Open Quantum Materials Database.

a b c (Å): 6.766 6.766 6.766
angles (deg): 90.00 90.00 90.00
Space group F-43m (No. 216)
Unique sites:
In1 0.000 0.000 0.000 [4 per cell]
In2 0.250 0.250 0.250 [4 per cell]
Tc1 0.000 0.000 0.500 [4 per cell]
As1 0.250 0.250 0.750 [4 per cell]

Calculated values
* DFT total energy: -73.12 eV/cell

First-principles (PBE-GGA) data for crystalline TcAgO3 at its relaxed geometry, as listed in the Open Quantum Materials Database.

a b c (Å): 5.4274 5.4274 13.3472
angles (deg): 90.00 90.00 120.00
Space group R-3c (No. 167, hexagonal axes)
Unique sites:
Tc1 0.0000 0.0000 0.0000 [6 per cell]
Ag1 0.0000 0.0000 0.2500 [6 per cell]
O1 0.0000 0.4380 0.2500 [18 per cell]

Calculated values
* DFT total energy: -194.75 eV/cell

DFT total energy of number 2 (In2TcAs)?
-73.12 eV/cell

DFT total energy of number 2 (In2TcAs)?
-73.12 eV/cell

The lowest DFT total energy belongs to which entry?
TcAgO3